[1]
! Tc2AgIr GGA-PBE optimized geometry; values from VASP
&SYSTEM
  ibrav = 0, nat = 4, ntyp = 3
/
ATOMIC_SPECIES
Tc 98.00 Tc.upf
Ag 107.87 Ag.upf
Ir 192.22 Ir.upf
CELL_PARAMETERS angstrom
-1.384 2.352 4.854
1.384 -2.352 4.854
1.384 2.352 -4.854
ATOMIC_POSITIONS crystal
Tc 0.000 0.000 0.000
Tc 0.779 0.279 0.500
Ag 0.282 0.782 0.500
Ir 0.553 0.553 0.000
! Symmetry   Imm2
! D(E_F)   4.017 states/eV per cell
! Energy of formation   419.2 meV per atom
! E above lowest polymorph   280.4 meV/atom

[2]
! LaCd2Si2 GGA-PBE optimized geometry; values from VASP
&SYSTEM
  ibrav = 0, nat = 5, ntyp = 3
/
ATOMIC_SPECIES
La 138.91 La.upf
Cd 112.41 Cd.upf
Si 28.09 Si.upf
CELL_PARAMETERS angstrom
-2.158 2.158 5.923
2.158 -2.158 5.923
2.158 2.158 -5.923
ATOMIC_POSITIONS crystal
La 0.000 0.000 0.000
Cd 0.250 0.750 0.500
Cd 0.750 0.250 0.500
Si 0.400 0.400 0.000
Si 0.600 0.600 0.000
! Symmetry   I4/mmm
! D(E_F)   2.276 states/eV per cell
! Formation energy from raw total energies   -0.31 eV per atom
! E above lowest polymorph   0.0 meV/atom

[3]
! Dy2ScH8 GGA-PBE optimized geometry; values from VASP
&SYSTEM
  ibrav = 0, nat = 11, ntyp = 3
/
ATOMIC_SPECIES
Dy 162.50 Dy.upf
Sc 44.96 Sc.upf
H 1.01 H.upf
CELL_PARAMETERS angstrom
-1.799 2.455 5.365
1.799 -2.455 5.365
1.799 2.455 -5.365
ATOMIC_POSITIONS crystal
Dy 0.169 0.169 0.000
Dy 0.831 0.831 0.000
Sc 0.500 0.500 0.000
H 0.096 0.349 0.747
H 0.254 0.000 0.254
H 0.324 0.824 0.500
H 0.398 0.651 0.747
H 0.602 0.349 0.253
H 0.676 0.176 0.500
H 0.746 0.000 0.746
H 0.904 0.651 0.253
! Symmetry   Immm
! D(E_F)   1.625 states/eV per cell
! Raw total energy   -4.44 eV per atom

[4]
! SrTl2I4 GGA-PBE optimized geometry; values from VASP
&SYSTEM
  ibrav = 0, nat = 7, ntyp = 3
/
ATOMIC_SPECIES
Sr 87.62 Sr.upf
Tl 204.38 Tl.upf
I 126.90 I.upf
CELL_PARAMETERS angstrom
-3.229 3.229 8.646
3.229 -3.229 8.646
3.229 3.229 -8.646
ATOMIC_POSITIONS crystal
Sr 0.000 0.000 0.000
Tl 0.371 0.371 0.000
Tl 0.629 0.629 0.000
I 0.000 0.500 0.500
I 0.186 0.186 0.000
I 0.500 0.000 0.500
I 0.814 0.814 0.000
! Symmetry   I4/mmm
! D(E_F)   0.000 states/eV per cell
! Formation energy from raw total energies   -1.01 eV per atom
! E above lowest polymorph   81.5 meV/atom

[5]
! Cu2BiPd GGA-PBE optimized geometry; values from VASP
&SYSTEM
  ibrav = 0, nat = 8, ntyp = 3
/
ATOMIC_SPECIES
Cu 63.55 Cu.upf
Bi 208.98 Bi.upf
Pd 106.42 Pd.upf
CELL_PARAMETERS angstrom
-3.673 3.673 2.700
3.673 -3.673 2.700
3.673 3.673 -2.700
ATOMIC_POSITIONS crystal
Cu 0.107 0.125 0.482
Cu 0.375 0.893 0.018
Cu 0.643 0.625 0.518
Cu 0.875 0.357 0.982
Bi 0.250 0.750 0.500
Bi 0.500 0.500 0.000
Pd 0.000 0.000 0.000
Pd 0.750 0.250 0.500
! Symmetry   I-42d
! D(E_F)   4.683 states/eV per cell
! Energy of formation   204.4 meV per atom

[6]
! PrNdTm5 GGA-PBE optimized geometry; values from VASP
&SYSTEM
  ibrav = 0, nat = 14, ntyp = 3
/
ATOMIC_SPECIES
Pr 140.91 Pr.upf
Nd 144.24 Nd.upf
Tm 168.93 Tm.upf
CELL_PARAMETERS angstrom
5.775 -3.439 0.000
5.775 3.439 0.000
-3.782 0.000 11.400
ATOMIC_POSITIONS crystal
Pr 0.026 0.974 0.750
Pr 0.974 0.026 0.250
Nd 0.000 0.500 0.000
Nd 0.500 0.000 0.500
Tm 0.136 0.420 0.744
Tm 0.206 0.636 0.503
Tm 0.364 0.794 0.997
Tm 0.409 0.591 0.250
Tm 0.420 0.136 0.244
Tm 0.580 0.864 0.756
Tm 0.591 0.409 0.750
Tm 0.636 0.206 0.003
Tm 0.794 0.364 0.497
Tm 0.864 0.580 0.256
! Symmetry   C2/c
! D(E_F)   18.978 states/eV per cell
! Energy of formation   200.2 meV per atom
! E above lowest polymorph   0.0 meV/atom

[7]
! La2AgGe3Pt4 GGA-PBE optimized geometry; values from VASP
&SYSTEM
  ibrav = 0, nat = 10, ntyp = 4
/
ATOMIC_SPECIES
La 138.91 La.upf
Ag 107.87 Ag.upf
Ge 72.64 Ge.upf
Pt 195.08 Pt.upf
CELL_PARAMETERS angstrom
4.410 0.000 0.000
0.000 4.410 0.000
0.000 0.000 10.420
ATOMIC_POSITIONS crystal
La 0.000 0.500 0.247
La 0.500 0.000 0.753
Ag 0.500 0.500 0.000
Ge 0.000 0.000 0.000
Ge 0.000 0.500 0.623
Ge 0.500 0.000 0.377
Pt 0.000 0.000 0.500
Pt 0.000 0.500 0.857
Pt 0.500 0.000 0.143
Pt 0.500 0.500 0.500
! Symmetry   P-4m2
! D(E_F)   5.536 states/eV per cell
! Energy of formation   -851.9 meV per atom

[8]
! CaLa7Pm4 GGA-PBE optimized geometry; values from VASP
&SYSTEM
  ibrav = 0, nat = 12, ntyp = 3
/
ATOMIC_SPECIES
Ca 40.08 Ca.upf
La 138.91 La.upf
Pm 145.00 Pm.upf
CELL_PARAMETERS angstrom
6.450 0.000 0.000
0.033 7.444 0.000
3.181 1.919 9.121
ATOMIC_POSITIONS crystal
Ca 0.000 0.000 0.000
La 0.000 0.500 0.000
La 0.170 0.916 0.340
La 0.341 0.339 0.663
La 0.499 0.740 0.999
La 0.501 0.260 0.001
La 0.659 0.661 0.337
La 0.830 0.084 0.660
Pm 0.164 0.416 0.334
Pm 0.341 0.831 0.663
Pm 0.659 0.169 0.337
Pm 0.836 0.584 0.666
! Symmetry   P-1
! D(E_F)   21.009 states/eV per cell
! Energy of formation   31.6 meV per atom

[9]
! Li4HgAs2 GGA-PBE optimized geometry; values from VASP
&SYSTEM
  ibrav = 0, nat = 7, ntyp = 3
/
ATOMIC_SPECIES
Li 6.94 Li.upf
Hg 200.59 Hg.upf
As 74.92 As.upf
CELL_PARAMETERS angstrom
2.262 1.306 8.400
-2.262 1.306 8.400
0.000 -2.612 8.400
ATOMIC_POSITIONS crystal
Li 0.080 0.080 0.080
Li 0.293 0.293 0.293
Li 0.707 0.707 0.707
Li 0.920 0.920 0.920
Hg 0.500 0.500 0.500
As 0.400 0.400 0.400
As 0.600 0.600 0.600
! Symmetry   R-3m
! Energy of formation   -535.1 meV per atom

[10]
! HoTlCdSn GGA-PBE optimized geometry; values from VASP
&SYSTEM
  ibrav = 0, nat = 4, ntyp = 4
/
ATOMIC_SPECIES
Ho 164.93 Ho.upf
Tl 204.38 Tl.upf
Cd 112.41 Cd.upf
Sn 118.71 Sn.upf
CELL_PARAMETERS angstrom
4.483 0.000 0.000
0.000 4.624 0.000
0.000 0.000 4.883
ATOMIC_POSITIONS crystal
Ho 0.000 0.000 0.000
Tl 0.500 0.000 0.500
Cd 0.000 0.500 0.500
Sn 0.500 0.500 0.000
! Symmetry   Pmmm
! D(E_F)   1.685 states/eV per cell
! Energy of formation   -341.6 meV per atom

[11]
! YErFe GGA-PBE optimized geometry; values from VASP
&SYSTEM
  ibrav = 0, nat = 12, ntyp = 3
/
ATOMIC_SPECIES
Y 88.91 Y.upf
Er 167.26 Er.upf
Fe 55.84 Fe.upf
CELL_PARAMETERS angstrom
3.382 -5.952 0.000
3.382 5.952 0.000
0.000 0.000 7.337
ATOMIC_POSITIONS crystal
Y 0.197 0.803 0.887
Y 0.303 0.697 0.387
Y 0.697 0.303 0.613
Y 0.803 0.197 0.113
Er 0.205 0.295 0.750
Er 0.295 0.205 0.250
Er 0.705 0.795 0.750
Er 0.795 0.705 0.250
Fe 0.091 0.909 0.543
Fe 0.409 0.591 0.043
Fe 0.591 0.409 0.957
Fe 0.909 0.091 0.457
! Symmetry   Cmce
! D(E_F)   13.534 states/eV per cell
! Energy of formation   41.9 meV per atom

[12]
! BaAl2InRe GGA-PBE optimized geometry; values from VASP
&SYSTEM
  ibrav = 0, nat = 5, ntyp = 4
/
ATOMIC_SPECIES
Ba 137.33 Ba.upf
Al 26.98 Al.upf
In 114.82 In.upf
Re 186.21 Re.upf
CELL_PARAMETERS angstrom
5.129 0.000 0.000
0.000 5.129 0.000
0.000 0.000 6.354
ATOMIC_POSITIONS crystal
Ba 0.000 0.000 0.000
Al 0.000 0.500 0.500
Al 0.500 0.000 0.500
In 0.000 0.000 0.500
Re 0.500 0.500 0.000
! Symmetry   P4/mmm
! D(E_F)   4.199 states/eV per cell
! Energy of formation   1524.6 meV per atom

[13]
! Pu3Cu2P4 GGA-PBE optimized geometry; values from VASP
&SYSTEM
  ibrav = 0, nat = 9, ntyp = 3
/
ATOMIC_SPECIES
Pu 244.00 Pu.upf
Cu 63.55 Cu.upf
P 30.97 P.upf
CELL_PARAMETERS angstrom
6.302 -1.924 0.000
6.302 1.924 0.000
-4.774 0.000 6.824
ATOMIC_POSITIONS crystal
Pu 0.000 0.000 0.000
Pu 0.373 0.373 0.287
Pu 0.627 0.627 0.713
Cu 0.316 0.316 0.626
Cu 0.684 0.684 0.374
P 0.079 0.079 0.391
P 0.320 0.320 0.911
P 0.680 0.680 0.089
P 0.921 0.921 0.609
! Symmetry   C2/m
! D(E_F)   23.254 states/eV per cell
! Energy of formation   -821.7 meV per atom

[14]
! CaLa3 GGA-PBE optimized geometry; values from VASP
&SYSTEM
  ibrav = 0, nat = 8, ntyp = 2
/
ATOMIC_SPECIES
Ca 40.08 Ca.upf
La 138.91 La.upf
CELL_PARAMETERS angstrom
4.955 -5.102 0.000
4.955 5.102 0.000
0.000 0.000 6.259
ATOMIC_POSITIONS crystal
Ca 0.080 0.920 0.750
Ca 0.920 0.080 0.250
La 0.088 0.579 0.250
La 0.418 0.582 0.750
La 0.421 0.912 0.250
La 0.579 0.088 0.750
La 0.582 0.418 0.250
La 0.912 0.421 0.750
! Symmetry   Cmcm
! D(E_F)   12.125 states/eV per cell
! Energy of formation   198.4 meV per atom

[15]
! Tm3Ge2O GGA-PBE optimized geometry; values from VASP
&SYSTEM
  ibrav = 0, nat = 12, ntyp = 3
/
ATOMIC_SPECIES
Tm 168.93 Tm.upf
Ge 72.64 Ge.upf
O 16.00 O.upf
CELL_PARAMETERS angstrom
5.705 -3.797 0.000
5.705 3.797 0.000
0.000 0.000 6.321
ATOMIC_POSITIONS crystal
Tm 0.000 0.000 0.000
Tm 0.000 0.000 0.500
Tm 0.185 0.489 0.750
Tm 0.489 0.185 0.250
Tm 0.511 0.815 0.750
Tm 0.815 0.511 0.250
Ge 0.178 0.600 0.250
Ge 0.400 0.822 0.250
Ge 0.600 0.178 0.750
Ge 0.822 0.400 0.750
O 0.200 0.800 0.750
O 0.800 0.200 0.250
! Symmetry   Cmcm
! D(E_F)   5.978 states/eV per cell
! Formation energy from raw total energies   -1.39 eV per atom

[16]
! Ce4Hg3C GGA-PBE optimized geometry; values from VASP
&SYSTEM
  ibrav = 0, nat = 8, ntyp = 3
/
ATOMIC_SPECIES
Ce 140.12 Ce.upf
Hg 200.59 Hg.upf
C 12.01 C.upf
CELL_PARAMETERS angstrom
-3.779 3.779 3.779
3.779 -3.779 3.779
3.779 3.779 -3.779
ATOMIC_POSITIONS crystal
Ce 0.000 0.000 0.637
Ce 0.000 0.637 0.000
Ce 0.363 0.363 0.363
Ce 0.637 0.000 0.000
Hg 0.000 0.500 0.500
Hg 0.500 0.000 0.500
Hg 0.500 0.500 0.000
C 0.000 0.000 0.000
! Symmetry   I-43m
! D(E_F)   23.648 states/eV per cell
! Energy of formation   -158.8 meV per atom

[17]
! Tb4Pm2Sm2Ho GGA-PBE optimized geometry; values from VASP
&SYSTEM
  ibrav = 0, nat = 9, ntyp = 4
/
ATOMIC_SPECIES
Tb 158.93 Tb.upf
Pm 145.00 Pm.upf
Sm 150.36 Sm.upf
Ho 164.93 Ho.upf
CELL_PARAMETERS angstrom
9.403 -1.811 0.000
9.403 1.811 0.000
-4.180 0.000 8.682
ATOMIC_POSITIONS crystal
Tb 0.019 0.019 0.332
Tb 0.315 0.315 0.666
Tb 0.685 0.685 0.334
Tb 0.981 0.981 0.668
Pm 0.165 0.165 0.000
Pm 0.835 0.835 0.000
Sm 0.353 0.353 0.336
Sm 0.647 0.647 0.664
Ho 0.500 0.500 0.000
! Symmetry   C2/m
! D(E_F)   11.718 states/eV per cell
! Energy of formation   3.4 meV per atom

[18]
! Na3U4Te8 GGA-PBE optimized geometry; values from VASP
&SYSTEM
  ibrav = 0, nat = 15, ntyp = 3
/
ATOMIC_SPECIES
Na 22.99 Na.upf
U 238.03 U.upf
Te 127.60 Te.upf
CELL_PARAMETERS angstrom
6.231 -6.294 0.000
6.231 6.294 0.000
-6.116 0.000 6.312
ATOMIC_POSITIONS crystal
Na 0.000 0.000 0.000
Na 0.000 0.500 0.000
Na 0.500 0.000 0.000
U 0.000 0.500 0.500
U 0.500 0.000 0.500
U 0.500 0.500 0.000
U 0.500 0.500 0.500
Te 0.250 0.250 0.507
Te 0.252 0.748 0.500
Te 0.253 0.747 0.000
Te 0.265 0.265 0.017
Te 0.735 0.735 0.983
Te 0.747 0.253 0.000
Te 0.748 0.252 0.500
Te 0.750 0.750 0.493
! Symmetry   C2/m
! D(E_F)   23.286 states/eV per cell
! Formation energy from raw total energies   -0.70 eV per atom

[19]
! TbMgNiPb GGA-PBE optimized geometry; values from VASP
&SYSTEM
  ibrav = 0, nat = 4, ntyp = 4
/
ATOMIC_SPECIES
Tb 158.93 Tb.upf
Mg 24.30 Mg.upf
Ni 58.69 Ni.upf
Pb 207.20 Pb.upf
CELL_PARAMETERS angstrom
0.000 3.515 3.515
3.515 0.000 3.515
3.515 3.515 0.000
ATOMIC_POSITIONS crystal
Tb 0.000 0.000 0.000
Mg 0.500 0.500 0.500
Ni 0.750 0.750 0.750
Pb 0.250 0.250 0.250
! Symmetry   F-43m
! D(E_F)   3.598 states/eV per cell
! Energy of formation   -163.9 meV per atom

[20]
! SiIr2Pb GGA-PBE optimized geometry; values from VASP
&SYSTEM
  ibrav = 0, nat = 4, ntyp = 3
/
ATOMIC_SPECIES
Si 28.09 Si.upf
Ir 192.22 Ir.upf
Pb 207.20 Pb.upf
CELL_PARAMETERS angstrom
2.964 0.000 0.000
0.000 3.023 0.000
-1.412 0.000 7.625
ATOMIC_POSITIONS crystal
Si 0.000 0.000 0.000
Ir 0.433 0.500 0.819
Ir 0.567 0.500 0.181
Pb 0.500 0.000 0.500
! Symmetry   P2/m
! D(E_F)   1.556 states/eV per cell
! Formation energy from raw total energies   -0.10 eV per atom
! E above lowest polymorph   17.3 meV/atom